(1)
A relaxed structure of BS2Cl, computed with PBE.

Properties
Its volume is 14.565 Å³/atom. Its formation energy (no corrections) is 161 kJ/mol of atoms. The calculation puts the total energy at -2.530 eV per atom. The value obtained for the density of states at the Fermi level is 11.679 states/eV/cell.

abc: 6.154 6.154 6.154
angles: 90.00 90.00 90.00
Fractional coordinates of all 16 atoms:
B  0.000  0.000  0.000
B  0.000  0.500  0.500
B  0.500  0.000  0.500
B  0.500  0.500  0.000
S  0.250  0.250  0.250
S  0.250  0.250  0.750
S  0.250  0.750  0.250
S  0.250  0.750  0.750
S  0.750  0.250  0.250
S  0.750  0.250  0.750
S  0.750  0.750  0.250
S  0.750  0.750  0.750
Cl  0.000  0.000  0.500
Cl  0.000  0.500  0.000
Cl  0.500  0.000  0.000
Cl  0.500  0.500  0.500

(2)
A relaxed structure of ScBS2Cl, computed with PBE.

Properties
Its volume is 15.753 Å³/atom. Its formation energy (no corrections) is -21 kJ/mol of atoms. The calculation puts the total energy at -4.836 eV per atom. The value obtained for the density of states at the Fermi level is 1.292 states/eV/cell.

abc: 4.336 4.336 4.188
angles: 90.00 90.00 90.00
Fractional coordinates of all 5 atoms:
Sc  0.000  0.000  0.000
B  0.500  0.500  0.500
S  0.000  0.500  0.500
S  0.500  0.000  0.500
Cl  0.500  0.500  0.000